1.
# KVBi2Pb, optimized geometry, DFT PBE
# formation enthalpy at 0 K: 428.8 meV per atom
# mass density: 6.9 Mg/m³
data_KVBi2Pb
_chemical_formula_sum 'K1 V1 Bi2 Pb1'
_symmetry_space_group_name_H-M 'P 1'
_symmetry_Int_Tables_number 1
_cell_length_a 5.390
_cell_length_b 5.890
_cell_length_c 5.390
_cell_angle_alpha 90.00
_cell_angle_beta 90.00
_cell_angle_gamma 90.00
loop_
_symmetry_equiv_pos_as_xyz
'x,y,z'
loop_
_atom_site_label
_atom_site_type_symbol
_atom_site_fract_x
_atom_site_fract_y
_atom_site_fract_z
Bi1 Bi 0.000 0.000 0.500
K1 K 0.000 0.500 0.000
Pb1 Pb 0.500 0.500 0.500
Bi2 Bi 0.500 0.000 0.000
V1 V 0.000 0.000 0.000


2.
# K2ZnBi2Pb, optimized geometry, DFT PBE
# formation enthalpy at 0 K: -241.4 meV per atom
# mass density: 5.8 Mg/m³
data_K2ZnBi2Pb
_chemical_formula_sum 'K4 Zn2 Bi4 Pb2'
_symmetry_space_group_name_H-M 'P 1'
_symmetry_Int_Tables_number 1
_cell_length_a 7.313
_cell_length_b 7.345
_cell_length_c 9.723
_cell_angle_alpha 112.19
_cell_angle_beta 112.09
_cell_angle_gamma 90.00
loop_
_symmetry_equiv_pos_as_xyz
'x,y,z'
loop_
_atom_site_label
_atom_site_type_symbol
_atom_site_fract_x
_atom_site_fract_y
_atom_site_fract_z
Zn1 Zn 0.500 0.750 0.000
Bi1 Bi 0.814 0.103 0.207
Bi2 Bi 0.186 0.897 0.793
Bi3 Bi 0.607 0.397 0.793
K1 K 0.930 0.668 0.336
Zn2 Zn 0.500 0.250 0.000
K2 K 0.406 0.168 0.336
K3 K 0.594 0.832 0.664
K4 K 0.070 0.332 0.664
Pb1 Pb 0.000 0.750 0.000
Bi4 Bi 0.393 0.603 0.207
Pb2 Pb 0.000 0.250 0.000


3.
# KZnBiPb, optimized geometry, DFT PBE
# formation enthalpy at 0 K: -94.8 meV per atom
# mass density: 6.2 Mg/m³
data_KZnBiPb
_chemical_formula_sum 'K2 Zn2 Bi2 Pb2'
_symmetry_space_group_name_H-M 'P 1'
_symmetry_Int_Tables_number 1
_cell_length_a 4.437
_cell_length_b 4.437
_cell_length_c 14.162
_cell_angle_alpha 90.00
_cell_angle_beta 90.00
_cell_angle_gamma 90.00
loop_
_symmetry_equiv_pos_as_xyz
'x,y,z'
loop_
_atom_site_label
_atom_site_type_symbol
_atom_site_fract_x
_atom_site_fract_y
_atom_site_fract_z
K1 K 0.250 0.250 0.744
K2 K 0.750 0.750 0.256
Pb1 Pb 0.250 0.750 0.500
Bi1 Bi 0.750 0.750 0.873
Zn1 Zn 0.750 0.250 0.000
Pb2 Pb 0.750 0.250 0.500
Zn2 Zn 0.250 0.750 0.000
Bi2 Bi 0.250 0.250 0.127


4.
# K2Bi3Pd3, optimized geometry, DFT PBE
# formation enthalpy at 0 K: -148.0 meV per atom
# mass density: 6.6 Mg/m³
data_K2Bi3Pd3
_chemical_formula_sum 'K2 Bi3 Pd3'
_symmetry_space_group_name_H-M 'P 1'
_symmetry_Int_Tables_number 1
_cell_length_a 3.478
_cell_length_b 9.267
_cell_length_c 9.267
_cell_angle_alpha 120.00
_cell_angle_beta 90.00
_cell_angle_gamma 90.00
loop_
_symmetry_equiv_pos_as_xyz
'x,y,z'
loop_
_atom_site_label
_atom_site_type_symbol
_atom_site_fract_x
_atom_site_fract_y
_atom_site_fract_z
K1 K 0.000 0.667 0.333
Pd1 Pd 0.500 0.188 0.000
Bi1 Bi 0.000 0.000 0.737
Bi2 Bi 0.000 0.263 0.263
K2 K 0.000 0.333 0.667
Pd2 Pd 0.500 0.812 0.812
Bi3 Bi 0.000 0.737 0.000
Pd3 Pd 0.500 0.000 0.188


5.
# K3Bi5Pd6, optimized geometry, DFT PBE
# formation enthalpy at 0 K: -332.1 meV per atom
# mass density: 8.2 Mg/m³
data_K3Bi5Pd6
_chemical_formula_sum 'K3 Bi5 Pd6'
_symmetry_space_group_name_H-M 'P 1'
_symmetry_Int_Tables_number 1
_cell_length_a 4.774
_cell_length_b 9.082
_cell_length_c 9.082
_cell_angle_alpha 80.89
_cell_angle_beta 74.76
_cell_angle_gamma 74.76
loop_
_symmetry_equiv_pos_as_xyz
'x,y,z'
loop_
_atom_site_label
_atom_site_type_symbol
_atom_site_fract_x
_atom_site_fract_y
_atom_site_fract_z
Pd1 Pd 0.116 0.179 0.589
Pd2 Pd 0.884 0.411 0.821
Bi1 Bi 0.340 0.969 0.352
Pd3 Pd 0.116 0.589 0.179
Bi2 Bi 0.660 0.031 0.648
Bi3 Bi 0.660 0.648 0.031
K1 K 0.722 0.278 0.278
K2 K 0.000 0.000 0.000
Bi4 Bi 0.000 0.500 0.500
Bi5 Bi 0.340 0.352 0.969
K3 K 0.278 0.722 0.722
Pd4 Pd 0.500 0.641 0.359
Pd5 Pd 0.884 0.821 0.411
Pd6 Pd 0.500 0.359 0.641


6.
# KBi3Pd2, optimized geometry, DFT PBE
# formation enthalpy at 0 K: -239.6 meV per atom
# excess energy over the best structure of this formula in the dataset: 25 meV/atom
# mass density: 8.3 Mg/m³
data_KBi3Pd2
_chemical_formula_sum 'K2 Bi6 Pd4'
_symmetry_space_group_name_H-M 'P 1'
_symmetry_Int_Tables_number 1
_cell_length_a 6.784
_cell_length_b 6.784
_cell_length_c 9.608
_cell_angle_alpha 69.33
_cell_angle_beta 69.33
_cell_angle_gamma 60.00
loop_
_symmetry_equiv_pos_as_xyz
'x,y,z'
loop_
_atom_site_label
_atom_site_type_symbol
_atom_site_fract_x
_atom_site_fract_y
_atom_site_fract_z
Bi1 Bi 0.262 0.754 0.231
Bi2 Bi 0.754 0.262 0.231
Bi3 Bi 0.246 0.246 0.769
Bi4 Bi 0.754 0.754 0.231
K1 K 0.204 0.204 0.388
Pd1 Pd 0.000 0.500 0.000
Bi5 Bi 0.738 0.246 0.769
Pd2 Pd 0.500 0.500 0.000
Pd3 Pd 0.500 0.000 0.000
Pd4 Pd 0.000 0.000 0.000
K2 K 0.796 0.796 0.612
Bi6 Bi 0.246 0.738 0.769


7.
# K3Bi4Pd4, optimized geometry, DFT PBE
# formation enthalpy at 0 K: -282.4 meV per atom
# excess energy over the best structure of this formula in the dataset: 0 meV/atom
# mass density: 7.2 Mg/m³
data_K3Bi4Pd4
_chemical_formula_sum 'K3 Bi4 Pd4'
_symmetry_space_group_name_H-M 'P 1'
_symmetry_Int_Tables_number 1
_cell_length_a 7.444
_cell_length_b 7.444
_cell_length_c 7.444
_cell_angle_alpha 109.47
_cell_angle_beta 109.47
_cell_angle_gamma 109.47
loop_
_symmetry_equiv_pos_as_xyz
'x,y,z'
loop_
_atom_site_label
_atom_site_type_symbol
_atom_site_fract_x
_atom_site_fract_y
_atom_site_fract_z
Pd1 Pd 0.000 0.261 0.000
Pd2 Pd 0.000 0.000 0.261
Pd3 Pd 0.261 0.000 0.000
K1 K 0.000 0.500 0.500
Bi1 Bi 0.000 0.626 0.000
Bi2 Bi 0.000 0.000 0.626
Bi3 Bi 0.374 0.374 0.374
K2 K 0.500 0.000 0.500
K3 K 0.500 0.500 0.000
Pd4 Pd 0.739 0.739 0.739
Bi4 Bi 0.626 0.000 0.000


8.
# K3Bi4Pd7, optimized geometry, DFT PBE
# formation enthalpy at 0 K: -253.6 meV per atom
# mass density: 7.7 Mg/m³
data_K3Bi4Pd7
_chemical_formula_sum 'K3 Bi4 Pd7'
_symmetry_space_group_name_H-M 'P 1'
_symmetry_Int_Tables_number 1
_cell_length_a 4.637
_cell_length_b 9.375
_cell_length_c 9.069
_cell_angle_alpha 79.15
_cell_angle_beta 75.19
_cell_angle_gamma 75.68
loop_
_symmetry_equiv_pos_as_xyz
'x,y,z'
loop_
_atom_site_label
_atom_site_type_symbol
_atom_site_fract_x
_atom_site_fract_y
_atom_site_fract_z
K1 K 0.000 0.500 0.500
Bi1 Bi 0.334 0.474 0.858
Pd1 Pd 0.507 0.847 0.138
K2 K 0.713 0.794 0.780
Bi2 Bi 0.666 0.526 0.142
K3 K 0.287 0.206 0.220
Bi3 Bi 0.904 0.882 0.311
Pd2 Pd 0.000 0.000 0.000
Pd3 Pd 0.878 0.318 0.927
Pd4 Pd 0.693 0.087 0.527
Pd5 Pd 0.493 0.153 0.862
Bi4 Bi 0.096 0.118 0.689
Pd6 Pd 0.122 0.682 0.073
Pd7 Pd 0.307 0.913 0.473


9.
# KBi2Pd2, optimized geometry, DFT PBE
# formation enthalpy at 0 K: -222.1 meV per atom
# mass density: 8.9 Mg/m³
data_KBi2Pd2
_chemical_formula_sum 'K2 Bi4 Pd4'
_symmetry_space_group_name_H-M 'P 1'
_symmetry_Int_Tables_number 1
_cell_length_a 8.726
_cell_length_b 8.726
_cell_length_c 3.265
_cell_angle_alpha 90.00
_cell_angle_beta 90.00
_cell_angle_gamma 90.00
loop_
_symmetry_equiv_pos_as_xyz
'x,y,z'
loop_
_atom_site_label
_atom_site_type_symbol
_atom_site_fract_x
_atom_site_fract_y
_atom_site_fract_z
Bi1 Bi 0.643 0.143 0.000
Pd1 Pd 0.362 0.138 0.500
Bi2 Bi 0.357 0.857 0.000
Pd2 Pd 0.638 0.862 0.500
Pd3 Pd 0.138 0.638 0.500
K1 K 0.500 0.500 0.000
K2 K 0.000 0.000 0.000
Bi3 Bi 0.143 0.357 0.000
Pd4 Pd 0.862 0.362 0.500
Bi4 Bi 0.857 0.643 0.000


10.
# K2Bi3Pd2, optimized geometry, DFT PBE
# formation enthalpy at 0 K: -313.5 meV per atom
# mass density: 7.2 Mg/m³
data_K2Bi3Pd2
_chemical_formula_sum 'K2 Bi3 Pd2'
_symmetry_space_group_name_H-M 'P 1'
_symmetry_Int_Tables_number 1
_cell_length_a 4.562
_cell_length_b 6.550
_cell_length_c 8.589
_cell_angle_alpha 116.28
_cell_angle_beta 90.00
_cell_angle_gamma 110.38
loop_
_symmetry_equiv_pos_as_xyz
'x,y,z'
loop_
_atom_site_label
_atom_site_type_symbol
_atom_site_fract_x
_atom_site_fract_y
_atom_site_fract_z
Bi1 Bi 0.637 0.274 0.443
Bi2 Bi 0.363 0.726 0.557
K1 K 0.848 0.695 0.204
K2 K 0.152 0.305 0.796
Pd1 Pd 0.132 0.264 0.244
Bi3 Bi 0.500 0.000 0.000
Pd2 Pd 0.868 0.736 0.756


11.
# KBi2Pd5, optimized geometry, DFT PBE
# formation enthalpy at 0 K: -184.1 meV per atom
# mass density: 9.3 Mg/m³
data_KBi2Pd5
_chemical_formula_sum 'K1 Bi2 Pd5'
_symmetry_space_group_name_H-M 'P 1'
_symmetry_Int_Tables_number 1
_cell_length_a 4.225
_cell_length_b 6.980
_cell_length_c 6.980
_cell_angle_alpha 66.42
_cell_angle_beta 72.38
_cell_angle_gamma 72.38
loop_
_symmetry_equiv_pos_as_xyz
'x,y,z'
loop_
_atom_site_label
_atom_site_type_symbol
_atom_site_fract_x
_atom_site_fract_y
_atom_site_fract_z
Pd1 Pd 0.634 0.182 0.550
K1 K 0.000 0.000 0.000
Pd2 Pd 0.634 0.550 0.182
Pd3 Pd 0.000 0.500 0.500
Pd4 Pd 0.366 0.450 0.818
Pd5 Pd 0.366 0.818 0.450
Bi1 Bi 0.249 0.251 0.251
Bi2 Bi 0.751 0.749 0.749


12.
# KBi3Pd2, optimized geometry, DFT PBE
# formation enthalpy at 0 K: -264.6 meV per atom
# excess energy over the best structure of this formula in the dataset: 0 meV/atom
# mass density: 8.5 Mg/m³
data_KBi3Pd2
_chemical_formula_sum 'K2 Bi6 Pd4'
_symmetry_space_group_name_H-M 'P 1'
_symmetry_Int_Tables_number 1
_cell_length_a 5.910
_cell_length_b 8.251
_cell_length_c 8.251
_cell_angle_alpha 121.90
_cell_angle_beta 90.00
_cell_angle_gamma 90.00
loop_
_symmetry_equiv_pos_as_xyz
'x,y,z'
loop_
_atom_site_label
_atom_site_type_symbol
_atom_site_fract_x
_atom_site_fract_y
_atom_site_fract_z
Pd1 Pd 0.000 0.162 0.838
Pd2 Pd 0.500 0.162 0.838
Bi1 Bi 0.750 0.518 0.114
K1 K 0.750 0.648 0.648
Pd3 Pd 0.000 0.838 0.162
Bi2 Bi 0.250 0.886 0.482
K2 K 0.250 0.352 0.352
Bi3 Bi 0.750 0.106 0.106
Bi4 Bi 0.250 0.894 0.894
Bi5 Bi 0.250 0.482 0.886
Bi6 Bi 0.750 0.114 0.518
Pd4 Pd 0.500 0.838 0.162


Among the records above, which one has the lowest mass density?
K2ZnBi2Pb